An optimized crystal structure of BaYBeAu, computed with GGA-PBE.

a b c (Å): 5.317 5.317 5.317
angles (deg): 60.00 60.00 60.00
Element x y z (fractional)
Ba1 0.000 0.000 0.000
Y1 0.500 0.500 0.500
Be1 0.250 0.250 0.250
Au1 0.750 0.750 0.750

Values from the calculation:
final energy: -3.85 eV/atom
mass density: 6.75 g cm⁻³
symmetry: No. 216
energy relative to the lowest polymorph listed for this composition: 0.000 eV/atom